[1]
The following is a PBE calculation of crystalline SbTe2PdCl at its relaxed geometry, from the Alexandria database.

## Properties
The energy above the most stable polymorph in this dataset comes out at 0.0000 eV/atom. As for the space-group type: P4/mmm, No. 123.

a b c (Å): 5.259 5.259 5.376
angles (deg): 90.00 90.00 90.00
Positions (direct):
Sb 0.000 0.000 0.000
Te 0.000 0.500 0.500
Te 0.500 0.000 0.500
Pd 0.000 0.000 0.500
Cl 0.500 0.500 0.000

---

[2]
The following is a PBE calculation of crystalline LiBeTe2 at its relaxed geometry, from the Alexandria database.

## Properties
As for the space-group type: P4mm, No. 99.

a b c (Å): 3.644 3.644 7.560
angles (deg): 90.00 90.00 90.00
Positions (direct):
Li 0.000 0.000 0.000
Be 0.500 0.500 0.788
Te 0.000 0.000 0.653
Te 0.500 0.500 0.114

---

[3]
The following is a PBE calculation of crystalline La5Pr2Cd2 at its relaxed geometry, from the Alexandria database.

## Properties
As for the space-group type: Cmce, No. 64. Its formation energy is 0.012 eV/atom.

a b c (Å): 9.520 9.520 8.634
angles (deg): 90.00 90.00 54.52
Positions (direct):
La 0.000 0.000 0.000
La 0.029 0.677 0.669
La 0.177 0.529 0.169
La 0.323 0.971 0.669
La 0.471 0.823 0.169
La 0.500 0.500 0.500
La 0.529 0.177 0.831
La 0.677 0.029 0.331
La 0.823 0.471 0.831
La 0.971 0.323 0.331
Pr 0.132 0.868 0.366
Pr 0.368 0.632 0.866
Pr 0.632 0.368 0.134
Pr 0.868 0.132 0.634
Cd 0.202 0.202 0.000
Cd 0.298 0.298 0.500
Cd 0.702 0.702 0.500
Cd 0.798 0.798 0.000

---

| no. | total DFT energy (no corrections) (eV per atom) | total magnetic moment (μB per formula unit) |
| --- | --- | --- |
| 1 | -3.207 | 0.00 |
| 2 | -3.207 | 0.00 |
| 3 | -3.991 | 0.00 |